The following is a DFT calculation (GGA+U) of a geometry-optimized NiH2SeF structure.

Cell: 3.303 3.303 4.738 Å, 90.00 90.00 90.00°
Space group P4/mmm (No. 123)
One atom of each set of equivalent atoms:
Ni 0.000 0.000 0.000 (multiplicity 1)
H 0.000 0.500 0.000 (multiplicity 2)
Se 0.000 0.000 0.500 (multiplicity 1)
F 0.500 0.500 0.500 (multiplicity 1)

Computed properties:
calculated volume	10.34	Å³/atom
calculated total energy	-2.7017	eV per atom